{
  "formula": "Li3La2Cu12Rh",
  "functional": "GGA-PBE",
  "state": "relaxed",
  "cell": [[-6.796, 10.243, 3.958], [-9.329, 6.406, 6.220], [-5.126, 8.347, 8.416]],
  "species": ["Cu", "Cu", "Rh", "Cu", "Li", "Cu", "La", "Cu", "Li", "Cu", "Cu", "Li", "Cu", "Cu", "La", "Cu", "Cu", "Cu"],
  "frac_coords": [[0.607, 0.122, 0.607], [0.393, 0.393, 0.878], [0.000, 0.000, 0.000], [0.611, 0.104, 0.104], [0.000, 0.500, 0.000], [0.393, 0.878, 0.393], [0.354, 0.354, 0.354], [0.104, 0.611, 0.104], [0.500, 0.000, 0.000], [0.896, 0.896, 0.389], [0.389, 0.896, 0.896], [0.000, 0.000, 0.500], [0.878, 0.393, 0.393], [0.104, 0.104, 0.611], [0.646, 0.646, 0.646], [0.607, 0.607, 0.122], [0.896, 0.389, 0.896], [0.122, 0.607, 0.607]],
  "e_form_ev_per_atom": 0.049,
  "dos_at_fermi_per_ev_atom": 0.500,
  "m_tot_mub_per_fu": 0.00,
  "mass_density_g_cm3": 6.76
}

---

{
  "formula": "LiLaCuSi",
  "functional": "GGA-PBE",
  "state": "relaxed",
  "cell": [[4.677, 0.000, 0.000], [2.338, 4.050, 0.000], [2.338, 1.350, 3.818]],
  "species": ["Si", "La", "Cu", "Li"],
  "frac_coords": [[0.500, 0.500, 0.500], [0.000, 0.000, 0.000], [0.750, 0.750, 0.750], [0.250, 0.250, 0.250]],
  "final_energy_ev_per_atom": -4.366,
  "dos_at_fermi_per_ev_atom": 0.515,
  "m_tot_mub_per_fu": 0.00,
  "mass_density_g_cm3": 5.45
}

---

{
  "formula": "Li3La2Cu12Si",
  "functional": "GGA-PBE",
  "state": "relaxed",
  "cell": [[-5.476, 5.683, -5.559], [-2.333, 1.909, -9.170], [-7.323, -0.080, -6.289]],
  "species": ["Cu", "Cu", "Cu", "Cu", "La", "Si", "Cu", "Cu", "Li", "Cu", "Cu", "La", "Li", "Cu", "Li", "Cu", "Cu", "Cu"],
  "frac_coords": [[0.929, 0.354, 0.929], [0.354, 0.929, 0.929], [0.417, 0.417, 0.810], [0.583, 0.583, 0.190], [0.649, 0.649, 0.649], [0.000, 0.000, 0.000], [0.417, 0.810, 0.417], [0.810, 0.417, 0.417], [0.000, 0.500, 0.000], [0.071, 0.646, 0.071], [0.583, 0.190, 0.583], [0.351, 0.351, 0.351], [0.000, 0.000, 0.500], [0.190, 0.583, 0.583], [0.500, 0.000, 0.000], [0.929, 0.929, 0.354], [0.071, 0.071, 0.646], [0.646, 0.071, 0.071]],
  "final_energy_ev_per_atom": -3.826,
  "dos_at_fermi_per_ev_atom": 0.417,
  "m_tot_mub_per_fu": 0.00,
  "mass_density_g_cm3": 6.25
}